(1)
VASP calculation (PBE) on crystalline SrSc2Cd at its relaxed geometry.

As for the calculated total energy: -58.6 eV/cell.

It has space group F-43m (No. 216), with a = 7.654 Å, b = 7.654 Å, c = 7.654 Å, α = 90.00°, β = 90.00° and γ = 90.00°. Symmetry generates all atoms from Sr at (0.000, 0.000, 0.000), Sc at (0.000, 0.000, 0.500), Sc at (0.250, 0.250, 0.250) and Cd at (0.250, 0.250, 0.750).

=====

(2)
VASP calculation (PBE) on crystalline AgMoSe at its relaxed geometry.

As for the uncorrected formation energy: 0.629 eV per formula unit.

It has space group I4mm (No. 107), with a = 3.121 Å, b = 3.121 Å, c = 11.292 Å, α = 90.00°, β = 90.00° and γ = 90.00°. Symmetry generates all atoms from Ag at (0.000, 0.000, 0.000), Mo at (0.000, 0.000, 0.675) and Se at (0.000, 0.000, 0.293).

=====

(3)
VASP calculation (PBE) on crystalline HfTlI6 at its relaxed geometry.

As for the uncorrected formation energy: -5.181 eV per formula unit.

It has space group R-3 (No. 148, hexagonal axes), with a = 7.6493 Å, b = 7.6493 Å, c = 20.7050 Å, α = 90.00°, β = 90.00° and γ = 120.00°. Symmetry generates all atoms from Hf at (0.0000, 0.0000, 0.0000), Tl at (0.0000, 0.0000, 0.5000) and I at (0.0133, 0.6389, 0.5890).

=====

(4)
VASP calculation (PBE) on crystalline LiTmU2As4 at its relaxed geometry.

As for the calculated total energy: -54.2 eV/cell.

It has space group P2/m (No. 10), with a = 6.995 Å, b = 4.072 Å, c = 7.035 Å, α = 90.00°, β = 109.52° and γ = 90.00°. Symmetry generates all atoms from Li at (0.000, 0.000, 0.000), Tm at (0.000, 0.500, 0.500), U at (0.500, 0.000, 0.500), U at (0.500, 0.500, 0.000), As at (0.249, 0.000, 0.751) and As at (0.256, 0.500, 0.253).

=====

(5)
VASP calculation (PBE) on crystalline Na2Cu2Sb at its relaxed geometry.

As for the uncorrected formation energy: -0.057 eV per formula unit.

It has space group P4/mbm (No. 127), with a = 6.683 Å, b = 6.683 Å, c = 4.834 Å, α = 90.00°, β = 90.00° and γ = 90.00°. Symmetry generates all atoms from Na at (0.179, 0.321, 0.000), Cu at (0.130, 0.630, 0.500) and Sb at (0.000, 0.000, 0.500).

=====

(6)
VASP calculation (PBE) on crystalline Al2PbAu at its relaxed geometry.

As for the calculated total energy: -14.5 eV/cell.

It has space group P2/m (No. 10), with a = 4.006 Å, b = 4.447 Å, c = 5.218 Å, α = 90.00°, β = 94.50° and γ = 90.00°. Symmetry generates all atoms from Al at (0.067, 0.000, 0.250), Pb at (0.500, 0.500, 0.000) and Au at (0.000, 0.500, 0.500).